(1)
6
Lattice="6.601 0.000 0.000 0.000 2.327 11.045 0.000 -2.327 11.045" Properties=species:S:1:pos:R:3 comment="K5Ni, relaxed, DFT PBE" total_magnetization_mub_per_fu=0.32 ef_mev_per_atom=404 relative_energy_mev_per_atom=0 crystal_system=orthorhombic n_ef_per_ev_cell=11.79 space_group=Amm2 pbc="T T T"
K 0.000 0.000 0.000
K 0.000 0.000 4.819
K 3.300 0.000 1.823
K 3.300 0.000 8.736
K 3.300 0.000 16.010
Ni 0.000 0.000 13.577

=====

(2)
9
Lattice="-3.989 3.989 1.830 3.989 -3.989 1.830 3.989 3.989 -1.830" Properties=species:S:1:pos:R:3 comment="KNi8, relaxed, DFT PBE" total_magnetization_mub_per_fu=4.69 ef_mev_per_atom=495 crystal_system=tetragonal n_ef_per_ev_cell=18.67 space_group=I4/mmm pbc="T T T"
K 0.000 0.000 0.000
Ni 2.776 0.000 0.000
Ni 5.202 0.000 0.000
Ni 2.483 2.483 0.000
Ni 1.506 -1.506 1.830
Ni 0.000 2.776 0.000
Ni 0.000 5.202 0.000
Ni -1.506 1.506 1.830
Ni 1.506 1.506 1.830

=====

(3)
4
Lattice="-2.189 2.189 3.188 2.189 -2.189 3.188 2.189 2.189 -3.188" Properties=species:S:1:pos:R:3 comment="KNi3, relaxed, DFT PBE" total_magnetization_mub_per_fu=0.88 ef_mev_per_atom=1070 relative_energy_mev_per_atom=540 crystal_system=tetragonal n_ef_per_ev_cell=9.88 space_group=I4/mmm pbc="T T T"
K 0.000 0.000 0.000
Ni 2.189 0.000 1.594
Ni 0.000 0.000 3.188
Ni 0.000 2.189 1.594

=====

(4)
5
Lattice="4.386 0.000 0.000 0.000 4.386 0.000 0.000 0.000 4.386" Properties=species:S:1:pos:R:3 comment="KNi4, relaxed, DFT PBE" total_magnetization_mub_per_fu=0.79 ef_mev_per_atom=2293 relative_energy_mev_per_atom=300 crystal_system=cubic n_ef_per_ev_cell=10.33 space_group=Pm-3m pbc="T T T"
K 0.000 0.000 0.000
Ni 0.000 0.000 2.193
Ni 0.000 2.193 0.000
Ni 2.193 0.000 0.000
Ni 2.193 2.193 2.193

=====

(5)
6
Lattice="2.967 -8.717 0.000 2.967 8.717 0.000 0.000 0.000 5.969" Properties=species:S:1:pos:R:3 comment="K5Ni, relaxed, DFT PBE" total_magnetization_mub_per_fu=0.34 ef_mev_per_atom=419 relative_energy_mev_per_atom=15 crystal_system=orthorhombic n_ef_per_ev_cell=13.37 space_group=Cmmm pbc="T T T"
K 0.000 0.000 0.000
K 2.967 6.236 2.985
K 2.967 2.510 0.000
K 2.967 -2.510 0.000
K 2.967 -6.236 2.985
Ni 2.967 0.000 2.985

=====

(6)
7
Lattice="6.381 0.000 0.000 -3.190 5.526 0.000 0.000 0.000 4.859" Properties=species:S:1:pos:R:3 comment="K3Ni4, relaxed, DFT PBE" total_magnetization_mub_per_fu=2.47 ef_mev_per_atom=1279 crystal_system=hexagonal n_ef_per_ev_cell=17.59 space_group=P6/mmm pbc="T T T"
K -1.595 2.763 0.000
K 3.190 0.000 0.000
K 1.595 2.763 0.000
Ni 0.000 0.000 1.195
Ni 0.000 0.000 3.664
Ni 0.000 3.684 2.429
Ni 3.190 1.842 2.429

=====

(7)
3
Lattice="5.651 0.000 0.000 0.000 5.651 0.000 0.000 0.000 3.730" Properties=species:S:1:pos:R:3 comment="K2Ni, relaxed, DFT PBE" total_magnetization_mub_per_fu=0.44 ef_mev_per_atom=673 relative_energy_mev_per_atom=289 crystal_system=tetragonal n_ef_per_ev_cell=8.61 space_group=P4/mmm pbc="T T T"
K 0.000 2.825 0.000
K 2.825 0.000 0.000
Ni 0.000 0.000 1.865

=====

(8)
4
Lattice="4.782 0.000 0.000 0.000 4.782 0.000 0.000 0.000 2.620" Properties=species:S:1:pos:R:3 comment="KNi3, relaxed, DFT PBE" total_magnetization_mub_per_fu=1.21 ef_mev_per_atom=968 relative_energy_mev_per_atom=437 crystal_system=tetragonal n_ef_per_ev_cell=8.94 space_group=P4/mmm pbc="T T T"
K 0.000 0.000 0.000
Ni 0.000 2.391 1.310
Ni 2.391 0.000 1.310
Ni 2.391 2.391 0.000